[1]
Entry from Alexandria: an optimized crystal structure of Fe2IrRu (GGA-PBE).

For the formation enthalpy at 0 K, the calculation gives 0.066 eV/atom. The calculation puts the energy at -0.3197 hartree per atom.

a = 8.6268 Å, b = 2.6678 Å, c = 4.6241 Å
α = 90.00°, β = 100.15°, γ = 90.00°
Space group C2/m (No. 12)
Symmetry-distinct sites (fractional):
Fe (0.2501, 0.0000, 0.2481) [4 per cell]
Ir (0.0000, 0.0000, 0.5000) [2 per cell]
Ru (0.0000, 0.5000, 0.0000) [2 per cell]


[2]
Entry from Alexandria: an optimized crystal structure of Fe2Ir8Ru (GGA-PBE).

For the formation enthalpy at 0 K, the calculation gives 0.221 eV/atom. The calculation puts the energy at -0.3163 hartree per atom.

a = 7.9676 Å, b = 10.0322 Å, c = 4.0184 Å
α = 90.00°, β = 90.00°, γ = 90.00°
Space group Cmmm (No. 65)
Symmetry-distinct sites (fractional):
Fe (0.0000, 0.1144, 0.0000) [4 per cell]
Ir (0.0000, 0.2409, 0.5000) [4 per cell]
Ir (0.1628, 0.0000, 0.5000) [4 per cell]
Ir (0.1666, 0.3670, 0.0000) [8 per cell]
Ru (0.0000, 0.5000, 0.5000) [2 per cell]


[3]
Entry from Alexandria: an optimized crystal structure of FeIr2Ru (GGA-PBE).

For the formation enthalpy at 0 K, the calculation gives -0.039 eV/atom. For the energy above the most stable polymorph in this dataset, the calculation gives 0 meV per atom. The calculation puts the energy at -0.3272 hartree per atom.

a = 2.7134 Å, b = 2.7134 Å, c = 7.4805 Å
α = 90.00°, β = 90.00°, γ = 90.00°
Space group P4/mmm (No. 123)
Symmetry-distinct sites (fractional):
Fe (0.0000, 0.0000, 0.0000) [1 per cell]
Ir (0.5000, 0.5000, 0.2455) [2 per cell]
Ru (0.0000, 0.0000, 0.5000) [1 per cell]


[4]
Entry from Alexandria: an optimized crystal structure of FeIr9Ru2 (GGA-PBE).

For the formation enthalpy at 0 K, the calculation gives -0.035 eV/atom. The calculation puts the energy at -0.3283 hartree per atom.

a = 3.8504 Å, b = 3.8504 Å, c = 11.5387 Å
α = 90.00°, β = 90.00°, γ = 90.00°
Space group P4/mmm (No. 123)
Symmetry-distinct sites (fractional):
Fe (0.0000, 0.0000, 0.0000) [1 per cell]
Ir (0.0000, 0.5000, 0.1656) [4 per cell]
Ir (0.0000, 0.5000, 0.5000) [2 per cell]
Ir (0.5000, 0.5000, 0.0000) [1 per cell]
Ir (0.5000, 0.5000, 0.3339) [2 per cell]
Ru (0.0000, 0.0000, 0.3301) [2 per cell]


[5]
Entry from Alexandria: an optimized crystal structure of Fe2IrRu (GGA-PBE).

For the formation enthalpy at 0 K, the calculation gives 0.089 eV/atom. The calculation puts the energy at -0.3189 hartree per atom.

a = 2.8734 Å, b = 4.2821 Å, c = 8.5413 Å
α = 90.00°, β = 90.00°, γ = 90.00°
Space group Imm2 (No. 44)
Symmetry-distinct sites (fractional):
Fe (0.0000, 0.0000, 0.0000) [2 per cell]
Fe (0.0000, 0.5000, 0.2741) [2 per cell]
Ir (0.0000, 0.5000, 0.7527) [2 per cell]
Ru (0.0000, 0.0000, 0.5229) [2 per cell]


[6]
Entry from Alexandria: an optimized crystal structure of FeIr2Ru3 (GGA-PBE).

For the formation enthalpy at 0 K, the calculation gives 0.265 eV/atom. The calculation puts the energy at -0.3211 hartree per atom.

a = 7.3414 Å, b = 8.7033 Å, c = 5.4812 Å
α = 90.00°, β = 100.89°, γ = 90.00°
Space group C2/c (No. 15)
Symmetry-distinct sites (fractional):
Fe (0.0000, 0.1819, 0.2500) [4 per cell]
Ir (0.1543, 0.2769, 0.6686) [8 per cell]
Ru (0.0000, 0.4635, 0.2500) [4 per cell]
Ru (0.1778, 0.0372, 0.9564) [8 per cell]


[7]
Entry from Alexandria: an optimized crystal structure of Fe4Ir3Ru (GGA-PBE).

For the formation enthalpy at 0 K, the calculation gives 0.006 eV/atom. The calculation puts the energy at -0.3200 hartree per atom.

a = 3.7778 Å, b = 3.7778 Å, c = 14.5634 Å
α = 90.00°, β = 90.00°, γ = 90.00°
Space group I4/mmm (No. 139)
Symmetry-distinct sites (fractional):
Fe (0.0000, 0.5000, 0.1243) [8 per cell]
Ir (0.0000, 0.0000, 0.0000) [2 per cell]
Ir (0.0000, 0.0000, 0.2498) [4 per cell]
Ru (0.0000, 0.0000, 0.5000) [2 per cell]


[8]
Entry from Alexandria: an optimized crystal structure of Fe2IrRu (GGA-PBE).

For the formation enthalpy at 0 K, the calculation gives 0.057 eV/atom. The calculation puts the energy at -0.3200 hartree per atom.

a = 2.7860 Å, b = 2.7860 Å, c = 6.7183 Å
α = 90.00°, β = 90.00°, γ = 90.00°
Space group P4mm (No. 99)
Symmetry-distinct sites (fractional):
Fe (0.0000, 0.0000, 0.0000) [1 per cell]
Fe (0.5000, 0.5000, 0.2186) [1 per cell]
Ir (0.0000, 0.0000, 0.4728) [1 per cell]
Ru (0.5000, 0.5000, 0.7541) [1 per cell]


What did the first record say?
Entry from Alexandria: an optimized crystal structure of Fe2IrRu (GGA-PBE).

For the formation enthalpy at 0 K, the calculation gives 0.066 eV/atom. The calculation puts the energy at -0.3197 hartree per atom.

a = 8.6268 Å, b = 2.6678 Å, c = 4.6241 Å
α = 90.00°, β = 100.15°, γ = 90.00°
Space group C2/m (No. 12)
Symmetry-distinct sites (fractional):
Fe (0.2501, 0.0000, 0.2481) [4 per cell]
Ir (0.0000, 0.0000, 0.5000) [2 per cell]
Ru (0.0000, 0.5000, 0.0000) [2 per cell]